A geometry-optimized KTlAgF6 structure, computed with PBE.

The structure belongs to space group C2 (No. 5); the cell edges are 6.256, 10.085 and 5.446 Å and the angles 90.00°, 92.09° and 90.00°. The distinct sites, in fractional coordinates, are K at (0.000, 0.000, 0.000), Tl at (0.000, 0.667, 0.500), Ag at (0.000, 0.326, 0.500), F at (0.137, 0.492, 0.704), F at (0.162, 0.803, 0.744) and F at (0.184, 0.176, 0.694).

The total magnetization comes out at 0.116 μB/atom. The uncorrected formation energy comes out at -1.832 eV per atom. The volume comes out at 343.3 Å³ per cell.